CrSnWO6 after structural relaxation. Source: the Alexandria database, functional PBE+U.

## Properties
DOS(E_F): 2.14 states/eV/f.u.
Symmetry: No. 163
Volume: 11.62 Å³/atom
E: -7.15 eV/atom

abc: 5.1547 5.1547 9.0882
angles: 90.00 90.00 120.00
With the nearest neighbours (Å) after each atom.
Sites, in units of the cell vectors:
1 O 0.3437 0.9967 0.6300  1 W 2.00, 1 Cr 2.02, 1 Sn 2.14
2 O 0.9967 0.3437 0.1300  1 W 2.00, 1 Cr 2.02, 1 Sn 2.14
3 O 0.3470 0.0033 0.1300  1 W 2.00, 1 Cr 2.02, 1 Sn 2.14
4 Sn 0.0000 0.0000 0.0000  6 O 2.14
5 O 0.3437 0.3470 0.8700  1 W 2.00, 1 Cr 2.02, 1 Sn 2.14
6 O 0.6563 0.0033 0.3700  1 W 2.00, 1 Cr 2.02, 1 Sn 2.14
7 Cr 0.3333 0.6667 0.2500  6 O 2.02
8 W 0.6667 0.3333 0.2500  6 O 2.00
9 Sn 0.0000 0.0000 0.5000  6 O 2.14
10 O 0.6530 0.9967 0.8700  1 W 2.00, 1 Cr 2.02, 1 Sn 2.14
11 O 0.3470 0.3437 0.3700  1 W 2.00, 1 Cr 2.02, 1 Sn 2.14
12 O 0.9967 0.6530 0.3700  1 W 2.00, 1 Cr 2.02, 1 Sn 2.14
13 W 0.3333 0.6667 0.7500  6 O 2.00
14 Cr 0.6667 0.3333 0.7500  6 O 2.02
15 O 0.0033 0.6563 0.8700  1 W 2.00, 1 Cr 2.02, 1 Sn 2.14
16 O 0.6563 0.6530 0.1300  1 W 2.00, 1 Cr 2.02, 1 Sn 2.14
17 O 0.0033 0.3470 0.6300  1 W 2.00, 1 Cr 2.02, 1 Sn 2.14
18 O 0.6530 0.6563 0.6300  1 W 2.00, 1 Cr 2.02, 1 Sn 2.14